{"formula": "Y3Ir", "functional": "PBE", "state": "optimized geometry", "lattice": [[5.805, 0.000, 0.000], [0.000, 5.805, 0.000], [0.000, 0.000, 5.805]], "species": ["Y", "Y", "Y", "Y", "Y", "Y", "Ir", "Ir"], "fractional_positions": [[0.000, 0.250, 0.500], [0.000, 0.750, 0.500], [0.250, 0.500, 0.000], [0.500, 0.000, 0.250], [0.500, 0.000, 0.750], [0.750, 0.500, 0.000], [0.000, 0.000, 0.000], [0.500, 0.500, 0.500]]}

{"formula": "Cs3Pa2Se5Br2", "functional": "PBE", "state": "optimized geometry", "raw_formation_energy_ev_per_atom": -1.51, "lattice": [[-2.789, 2.789, 14.839], [2.789, -2.789, 14.839], [2.789, 2.789, -14.839]], "species": ["Cs", "Cs", "Cs", "Pa", "Pa", "Se", "Se", "Se", "Se", "Se", "Br", "Br"], "fractional_positions": [[0.000, 0.000, 0.000], [0.181, 0.181, 0.000], [0.819, 0.819, 0.000], [0.407, 0.407, 0.000], [0.593, 0.593, 0.000], [0.096, 0.596, 0.500], [0.404, 0.904, 0.500], [0.500, 0.500, 0.000], [0.596, 0.096, 0.500], [0.904, 0.404, 0.500], [0.307, 0.307, 0.000], [0.693, 0.693, 0.000]]}

{"formula": "YCdP2Rh5", "functional": "PBE", "state": "optimized geometry", "lattice": [[4.012, 0.000, 0.000], [0.000, 4.012, 0.000], [0.000, 0.000, 10.408]], "species": ["Y", "Cd", "P", "P", "Rh", "Rh", "Rh", "Rh", "Rh"], "fractional_positions": [[0.000, 0.000, 0.000], [0.000, 0.000, 0.500], [0.500, 0.500, 0.216], [0.500, 0.500, 0.784], [0.000, 0.500, 0.315], [0.000, 0.500, 0.685], [0.500, 0.000, 0.315], [0.500, 0.000, 0.685], [0.500, 0.500, 0.000]]}

{"formula": "Mg4Zn2Cu", "functional": "PBE", "state": "optimized geometry", "polymorph_energy_mev_per_atom": 71, "lattice": [[-3.095, 3.095, 7.336], [3.095, -3.095, 7.336], [3.095, 3.095, -7.336]], "species": ["Mg", "Mg", "Mg", "Mg", "Mg", "Mg", "Mg", "Mg", "Zn", "Zn", "Zn", "Zn", "Cu", "Cu"], "fractional_positions": [[0.020, 0.520, 0.847], [0.172, 0.020, 0.500], [0.328, 0.828, 0.847], [0.480, 0.328, 0.500], [0.520, 0.672, 0.500], [0.672, 0.172, 0.153], [0.828, 0.980, 0.500], [0.980, 0.480, 0.153], [0.144, 0.356, 0.500], [0.356, 0.856, 0.211], [0.644, 0.144, 0.789], [0.856, 0.644, 0.500], [0.250, 0.250, 0.000], [0.750, 0.750, 0.000]]}

{"formula": "K3In2Sn4", "functional": "PBE", "state": "optimized geometry", "polymorph_energy_mev_per_atom": 60, "lattice": [[5.170, 0.000, 0.000], [2.559, 6.615, 0.000], [0.082, 3.621, 9.386]], "species": ["K", "K", "K", "In", "In", "Sn", "Sn", "Sn", "Sn"], "fractional_positions": [[0.000, 0.000, 0.000], [0.379, 0.234, 0.637], [0.621, 0.766, 0.363], [0.298, 0.423, 0.255], [0.702, 0.577, 0.745], [0.072, 0.832, 0.650], [0.297, 0.410, 0.949], [0.703, 0.590, 0.051], [0.928, 0.168, 0.350]]}

{"formula": "Li2AlBiS4", "functional": "PBE", "state": "optimized geometry", "raw_formation_energy_ev_per_atom": -0.96, "lattice": [[8.410, 0.000, 0.000], [0.000, 6.940, 0.000], [0.000, 0.000, 6.375]], "species": ["Li", "Li", "Li", "Li", "Al", "Al", "Bi", "Bi", "S", "S", "S", "S", "S", "S", "S", "S"], "fractional_positions": [[0.248, 0.171, 0.000], [0.252, 0.829, 0.500], [0.748, 0.829, 0.500], [0.752, 0.171, 0.000], [0.000, 0.678, 0.006], [0.500, 0.322, 0.506], [0.000, 0.332, 0.495], [0.500, 0.668, 0.995], [0.000, 0.359, 0.920], [0.000, 0.696, 0.365], [0.215, 0.836, 0.881], [0.285, 0.164, 0.381], [0.500, 0.304, 0.865], [0.500, 0.641, 0.420], [0.715, 0.164, 0.381], [0.785, 0.836, 0.881]]}

{"formula": "DyY4Sb5", "functional": "PBE", "state": "optimized geometry", "raw_formation_energy_ev_per_atom": -1.16, "lattice": [[-2.195, 3.103, 10.972], [2.195, -3.103, 10.972], [2.195, 3.103, -10.972]], "species": ["Dy", "Y", "Y", "Y", "Y", "Sb", "Sb", "Sb", "Sb", "Sb"], "fractional_positions": [[0.000, 0.000, 0.000], [0.200, 0.200, 0.000], [0.400, 0.400, 0.000], [0.600, 0.600, 0.000], [0.800, 0.800, 0.000], [0.100, 0.600, 0.500], [0.300, 0.800, 0.500], [0.500, 0.000, 0.500], [0.700, 0.200, 0.500], [0.900, 0.400, 0.500]]}

{"formula": "Al2WAu", "functional": "PBE", "state": "optimized geometry", "polymorph_energy_mev_per_atom": 14, "lattice": [[10.003, 0.000, 0.000], [0.000, 2.884, 0.000], [-1.695, 0.000, 4.430]], "species": ["Al", "Al", "Al", "Al", "W", "W", "Au", "Au"], "fractional_positions": [[0.000, 0.000, 0.000], [0.243, 0.000, 0.599], [0.500, 0.500, 0.000], [0.743, 0.500, 0.599], [0.245, 0.500, 0.089], [0.745, 0.000, 0.089], [0.493, 0.000, 0.499], [0.993, 0.500, 0.499]]}

Computed total DFT energy (no corrections) (eV per atom) in order:
-7.161; -5.032; -6.601; -1.831; -2.866; -4.459; -6.267; -6.042